Entry 1:
Density functional theory data (GGA-PBE) for crystalline ScCoMo at its relaxed geometry.

Properties
Space group = No. 63
Calculated total energy = -49.24 eV per cell
Polymorph energy (0 for the lowest one) = 0 meV/atom

Cell: 7.191 7.191 4.363 Å, 90.00 90.00 155.23°
Fractional positions:
Sc (0.077, 0.923, 0.750)
Sc (0.923, 0.077, 0.250)
Co (0.401, 0.599, 0.750)
Co (0.599, 0.401, 0.250)
Mo (0.243, 0.757, 0.250)
Mo (0.757, 0.243, 0.750)

***

Entry 2:
Density functional theory data (GGA-PBE) for crystalline Th3Hg6Pb2 at its relaxed geometry.

Properties
Space group = No. 139
Calculated total energy = -32.22 eV per cell

Cell: 16.435 16.435 16.435 Å, 164.21 164.21 22.40°
Fractional positions:
Th (0.000, 0.000, 0.000)
Th (0.160, 0.160, 0.000)
Th (0.840, 0.840, 0.000)
Hg (0.071, 0.571, 0.500)
Hg (0.258, 0.258, 0.000)
Hg (0.429, 0.929, 0.500)
Hg (0.571, 0.071, 0.500)
Hg (0.742, 0.742, 0.000)
Hg (0.929, 0.429, 0.500)
Pb (0.354, 0.354, 0.000)
Pb (0.646, 0.646, 0.000)

***

Entry 3:
Density functional theory data (GGA-PBE) for crystalline Pr4Sm4Dy at its relaxed geometry.

Properties
Space group = No. 2
Calculated total energy = -42.46 eV per cell

Cell: 5.182 8.172 8.176 Å, 107.60 90.04 108.40°
Fractional positions:
Pr (0.165, 0.330, 0.000)
Pr (0.278, 0.557, 0.666)
Pr (0.722, 0.443, 0.334)
Pr (0.835, 0.670, 0.000)
Sm (0.055, 0.110, 0.334)
Sm (0.390, 0.780, 0.332)
Sm (0.610, 0.220, 0.668)
Sm (0.945, 0.890, 0.666)
Dy (0.500, 0.000, 0.000)

***

Entry 4:
Density functional theory data (GGA-PBE) for crystalline RbMoOs2 at its relaxed geometry.

Properties
Space group = No. 122
Calculated total energy = -54.52 eV per cell
Polymorph energy (0 for the lowest one) = 0 meV/atom

Cell: 6.132 6.132 6.132 Å, 104.29 104.29 120.43°
Fractional positions:
Rb (0.000, 0.000, 0.000)
Rb (0.750, 0.250, 0.500)
Mo (0.250, 0.750, 0.500)
Mo (0.500, 0.500, 0.000)
Os (0.189, 0.125, 0.564)
Os (0.375, 0.811, 0.936)
Os (0.561, 0.625, 0.436)
Os (0.875, 0.439, 0.064)

***

Entry 5:
Density functional theory data (GGA-PBE) for crystalline Ba2AsOs at its relaxed geometry.

Properties
Space group = No. 25
Calculated total energy = -17.49 eV per cell

Cell: 4.534 4.850 6.593 Å, 90.00 90.00 90.00°
Fractional positions:
Ba (0.000, 0.000, 0.000)
Ba (0.500, 0.500, 0.500)
As (0.000, 0.000, 0.500)
Os (0.500, 0.500, 0.999)

***

Entry 6:
Density functional theory data (GGA-PBE) for crystalline KSO3F at its relaxed geometry.

Properties
Energy relative to the elements, uncorrected = -1.627 eV/atom
Space group = No. 15
Calculated total energy = -63.46 eV per cell

Cell: 9.476 9.476 4.571 Å, 103.89 103.89 135.76°
Fractional positions:
K (0.171, 0.829, 0.750)
K (0.829, 0.171, 0.250)
S (0.372, 0.628, 0.250)
S (0.628, 0.372, 0.750)
O (0.104, 0.443, 0.024)
O (0.443, 0.104, 0.524)
O (0.453, 0.547, 0.250)
O (0.547, 0.453, 0.750)
O (0.557, 0.896, 0.476)
O (0.896, 0.557, 0.976)
F (0.356, 0.644, 0.750)
F (0.644, 0.356, 0.250)

***

Entry 7:
Density functional theory data (GGA-PBE) for crystalline La2FeI at its relaxed geometry.

Properties
Energy relative to the elements, uncorrected = -0.423 eV/atom
Space group = No. 166
Calculated total energy = -21.56 eV per cell
Polymorph energy (0 for the lowest one) = 0 meV/atom

Cell: 8.629 8.629 8.629 Å, 27.56 27.56 27.56°
Fractional positions:
La (0.228, 0.228, 0.228)
La (0.772, 0.772, 0.772)
Fe (0.500, 0.500, 0.500)
I (0.000, 0.000, 0.000)

***

Entry 8:
Density functional theory data (GGA-PBE) for crystalline LaCe3Sm2S6 at its relaxed geometry.

Properties
Energy relative to the elements, uncorrected = -2.058 eV/atom
Space group = No. 12
Calculated total energy = -81.63 eV per cell

Cell: 7.001 7.001 7.016 Å, 99.60 99.60 120.03°
Fractional positions:
La (0.000, 0.000, 0.000)
Ce (0.165, 0.835, 0.500)
Ce (0.500, 0.500, 0.500)
Ce (0.835, 0.165, 0.500)
Sm (0.333, 0.667, 0.000)
Sm (0.667, 0.333, 0.000)
S (0.084, 0.423, 0.252)
S (0.256, 0.256, 0.750)
S (0.423, 0.084, 0.252)
S (0.577, 0.916, 0.748)
S (0.744, 0.744, 0.250)
S (0.916, 0.577, 0.748)

***

Entry 9:
Density functional theory data (GGA-PBE) for crystalline RuPb2Br at its relaxed geometry.

Properties
Energy relative to the elements, uncorrected = 0.162 eV/atom
Space group = No. 8
Calculated total energy = -17.72 eV per cell
Polymorph energy (0 for the lowest one) = 35 meV/atom

Cell: 7.816 7.816 4.356 Å, 90.07 90.07 24.71°
Fractional positions:
Ru (0.000, 0.000, 0.000)
Pb (0.469, 0.469, 0.500)
Pb (0.654, 0.654, 0.000)
Br (0.269, 0.269, 0.500)

***

Entry 10:
Density functional theory data (GGA-PBE) for crystalline Sm2Th2GeIr4 at its relaxed geometry.

Properties
Space group = No. 139
Calculated total energy = -67.29 eV per cell

Cell: 6.645 6.645 6.645 Å, 121.03 121.03 88.22°
Fractional positions:
Sm (0.250, 0.750, 0.500)
Sm (0.750, 0.250, 0.500)
Th (0.189, 0.189, 0.000)
Th (0.811, 0.811, 0.000)
Ge (0.500, 0.500, 0.000)
Ir (0.235, 0.235, 0.470)
Ir (0.235, 0.765, 0.000)
Ir (0.765, 0.235, 0.000)
Ir (0.765, 0.765, 0.530)

***

Entry 11:
Density functional theory data (GGA-PBE) for crystalline Ga2Ni8B at its relaxed geometry.

Properties
Space group = No. 71
Calculated total energy = -61.31 eV per cell

Cell: 6.731 6.731 6.731 Å, 145.09 135.38 57.87°
Fractional positions:
Ga (0.187, 0.187, 0.000)
Ga (0.813, 0.813, 0.000)
Ni (0.121, 0.375, 0.746)
Ni (0.254, 0.000, 0.254)
Ni (0.317, 0.817, 0.500)
Ni (0.371, 0.625, 0.746)
Ni (0.629, 0.375, 0.254)
Ni (0.683, 0.183, 0.500)
Ni (0.746, 0.000, 0.746)
Ni (0.879, 0.625, 0.254)
B (0.500, 0.500, 0.000)

***

Entry 12:
Density functional theory data (GGA-PBE) for crystalline LaSm5Ni2 at its relaxed geometry.

Properties
Space group = No. 63
Calculated total energy = -81.91 eV per cell

Cell: 6.886 6.886 18.711 Å, 90.00 90.00 148.50°
Fractional positions:
La (0.182, 0.818, 0.750)
La (0.818, 0.182, 0.250)
Sm (0.089, 0.911, 0.250)
Sm (0.169, 0.831, 0.558)
Sm (0.169, 0.831, 0.942)
Sm (0.437, 0.563, 0.592)
Sm (0.437, 0.563, 0.908)
Sm (0.563, 0.437, 0.092)
Sm (0.563, 0.437, 0.408)
Sm (0.831, 0.169, 0.058)
Sm (0.831, 0.169, 0.442)
Sm (0.911, 0.089, 0.750)
Ni (0.218, 0.782, 0.135)
Ni (0.218, 0.782, 0.365)
Ni (0.782, 0.218, 0.635)
Ni (0.782, 0.218, 0.865)